Density functional theory data (PBEsol) for a geometry-optimized SiMo2Rh structure.

a b c (Å): 4.906 4.906 4.906
angles (deg): 136.29 136.14 63.65
Positions (direct):
Si  0.000  0.000  0.000
Mo  0.250  0.750  0.500
Mo  0.750  0.250  0.500
Rh  0.500  0.500  0.000

Summary:
M_tot: 0.0 μB/f.u.
V: 13.9 Å³/atom
Space group: Immm, No. 71
E_tot: -9.697 eV per atom
E_form (uncorrected): -0.3422 eV per atom